# MgZr4Rh5 (GGA-PBE, relaxed)
data_MgZr4Rh5
_chemical_formula_sum 'Mg1 Zr4 Rh5'
_symmetry_space_group_name_H-M 'P 1'
_symmetry_Int_Tables_number 1
_cell_length_a 3.3042
_cell_length_b 3.3042
_cell_length_c 16.0498
_cell_angle_alpha 90.00
_cell_angle_beta 90.00
_cell_angle_gamma 90.00
loop_
_symmetry_equiv_pos_as_xyz
'x,y,z'
loop_
_atom_site_label
_atom_site_type_symbol
_atom_site_fract_x
_atom_site_fract_y
_atom_site_fract_z
Mg1 Mg 0.0000 0.0000 0.0000
Zr1 Zr 0.0000 0.0000 0.1920
Zr2 Zr 0.0000 0.0000 0.3986
Zr3 Zr 0.0000 0.0000 0.6014
Zr4 Zr 0.0000 0.0000 0.8080
Rh1 Rh 0.5000 0.5000 0.0991
Rh2 Rh 0.5000 0.5000 0.2948
Rh3 Rh 0.5000 0.5000 0.5000
Rh4 Rh 0.5000 0.5000 0.7052
Rh5 Rh 0.5000 0.5000 0.9009
# Total moment: 0.000 μB/atom
# Uncorrected energy: -8.018 eV/atom
# DFT formation energy: -0.76 eV per atom